Entry 1:
# SrFe2SiPt (GGA-PBE, optimized geometry)
# Energy relative to the elements, uncorrected ... 33 kJ/mol of formula units
data_SrFe2SiPt
_chemical_formula_sum 'Sr1 Fe2 Si1 Pt1'
_cell_length_a 4.5167
_cell_length_b 4.5167
_cell_length_c 4.7125
_cell_angle_alpha 90.00
_cell_angle_beta 90.00
_cell_angle_gamma 90.00
_space_group_name_H-M_alt 'P 4/m m m'
_space_group_IT_number 123
_space_group_name_Hall '-P 4 2'
loop_
_atom_site_label
_atom_site_type_symbol
_atom_site_fract_x
_atom_site_fract_y
_atom_site_fract_z
Sr1 Sr 0.0000 0.0000 0.0000
Fe1 Fe 0.0000 0.5000 0.5000
Si1 Si 0.5000 0.5000 0.5000
Pt1 Pt 0.5000 0.5000 0.0000

***

Entry 2:
# RbSr2SnI8 (GGA-PBE, optimized geometry)
# Energy relative to the elements, uncorrected ... -1339 kJ/mol of formula units
data_RbSr2SnI8
_chemical_formula_sum 'Rb1 Sr2 Sn1 I8'
_cell_length_a 7.4643
_cell_length_b 7.7365
_cell_length_c 10.1247
_cell_angle_alpha 89.98
_cell_angle_beta 89.96
_cell_angle_gamma 89.44
_space_group_name_H-M_alt 'P -1'
_space_group_IT_number 2
loop_
_space_group_symop_operation_xyz
'x,y,z'
'-x,-y,-z'
loop_
_atom_site_label
_atom_site_type_symbol
_atom_site_fract_x
_atom_site_fract_y
_atom_site_fract_z
Rb1 Rb 0.0000 0.0000 0.0000
Sr1 Sr 0.4999 0.5000 0.2531
Sn1 Sn 0.0000 0.0000 0.5000
I1 I 0.2381 0.3383 0.5002
I2 I 0.2464 0.8548 0.7125
I3 I 0.2469 0.8554 0.2874
I4 I 0.2641 0.3743 0.0001

***

Entry 3:
# Cd5Si2O10 (GGA-PBE, optimized geometry)
# Energy relative to the elements, uncorrected ... -2479 kJ/mol of formula units
data_Cd5Si2O10
_chemical_formula_sum 'Cd10 Si4 O20'
_cell_length_a 8.7577
_cell_length_b 5.0107
_cell_length_c 11.3984
_cell_angle_alpha 90.00
_cell_angle_beta 108.64
_cell_angle_gamma 90.00
_space_group_name_H-M_alt 'P 1 21/c 1'
_space_group_IT_number 14
loop_
_space_group_symop_operation_xyz
'x,y,z'
'-x,-y,-z'
'-x,y+1/2,-z+1/2'
'x,-y+1/2,z+1/2'
loop_
_atom_site_label
_atom_site_type_symbol
_atom_site_fract_x
_atom_site_fract_y
_atom_site_fract_z
Cd1 Cd 0.0000 0.0000 0.0000
Cd2 Cd 0.2010 0.0143 0.3341
Cd3 Cd 0.4238 0.0148 0.1152
Si1 Si 0.2008 0.5742 0.1453
O1 O 0.0435 0.7060 0.1761
O2 O 0.1935 0.6999 0.0083
O3 O 0.2077 0.2467 0.1494
O4 O 0.3605 0.7147 0.2474
O5 O 0.4216 0.2305 0.4539

***

Entry 4:
# CuAs2Pd2 (GGA-PBE, optimized geometry)
# Total energy ... -4.794 eV per atom
data_CuAs2Pd2
_chemical_formula_sum 'Cu2 As4 Pd4'
_cell_length_a 6.7108
_cell_length_b 6.7108
_cell_length_c 3.6780
_cell_angle_alpha 90.00
_cell_angle_beta 90.00
_cell_angle_gamma 90.00
_space_group_name_H-M_alt 'P 4/m b m'
_space_group_IT_number 127
_space_group_name_Hall '-P 4 2ab'
loop_
_atom_site_label
_atom_site_type_symbol
_atom_site_fract_x
_atom_site_fract_y
_atom_site_fract_z
Cu1 Cu 0.0000 0.0000 0.0000
As1 As 0.1554 0.3446 0.0000
Pd1 Pd 0.1505 0.6505 0.5000

***

Entry 5:
# Ca2TeOsPb (GGA-PBE, optimized geometry)
# Energy relative to the elements, uncorrected ... 158 kJ/mol of formula units
data_Ca2TeOsPb
_chemical_formula_sum 'Ca2 Te1 Os1 Pb1'
_cell_length_a 5.7612
_cell_length_b 5.7612
_cell_length_c 4.8768
_cell_angle_alpha 90.00
_cell_angle_beta 90.00
_cell_angle_gamma 90.00
_space_group_name_H-M_alt 'P 4/m m m'
_space_group_IT_number 123
_space_group_name_Hall '-P 4 2'
loop_
_atom_site_label
_atom_site_type_symbol
_atom_site_fract_x
_atom_site_fract_y
_atom_site_fract_z
Ca1 Ca 0.0000 0.5000 0.0000
Te1 Te 0.0000 0.0000 0.0000
Os1 Os 0.0000 0.0000 0.5000
Pb1 Pb 0.5000 0.5000 0.5000

***

Entry 6:
# Y2PdPt2 (GGA-PBE, optimized geometry)
# Total energy ... -6.894 eV per atom
data_Y2PdPt2
_chemical_formula_sum 'Y4 Pd2 Pt4'
_cell_length_a 7.8889
_cell_length_b 7.8889
_cell_length_c 3.4919
_cell_angle_alpha 90.00
_cell_angle_beta 90.00
_cell_angle_gamma 90.00
_space_group_name_H-M_alt 'P 4/m b m'
_space_group_IT_number 127
_space_group_name_Hall '-P 4 2ab'
loop_
_atom_site_label
_atom_site_type_symbol
_atom_site_fract_x
_atom_site_fract_y
_atom_site_fract_z
Y1 Y 0.1657 0.3343 0.0000
Pd1 Pd 0.0000 0.0000 0.0000
Pt1 Pt 0.1311 0.6311 0.5000